6
Lattice="3.9140 -0.5480 2.1536 0.4815 4.4803 0.2650 -0.3464 -0.2740 5.2631" Properties=species:S:1:pos:R:3 comment="GGA-PBE NbMo5, optimized geometry" spacegroup="No. 65" ef_ev_per_atom=-0.078 e_above_lowest_polymorph_ev_per_atom=0.0000 density_kg_m3=9795 magmom_total_mub_per_atom=0.000 pbc="T T T"
Mo 1.7838 -0.4110 3.7083
Mo 1.2485 1.8292 5.2514
Mo 2.8007 1.8292 2.4302
Mo 0.6008 -0.1370 1.2248
Mo 2.9668 -0.6850 6.1919
Nb 0.0676 2.1032 2.7640

=====

10
Lattice="-0.6976 -2.5057 1.8968 1.3071 -1.9983 -2.1590 14.2814 1.5109 7.2481" Properties=species:S:1:pos:R:3 comment="GGA-PBE Nb2Mo3, optimized geometry" spacegroup="No. 123" ef_ev_per_atom=-0.127 e_above_lowest_polymorph_ev_per_atom=0.0000 density_kg_m3=9436 magmom_total_mub_per_atom=0.000 pbc="T T T"
Mo 7.1407 0.7554 3.6241
Mo 12.9028 1.3650 6.5485
Mo 10.0224 1.0603 5.0866
Mo 0.3048 -2.2520 -0.1311
Mo 1.3786 0.1458 0.6997
Mo 4.2590 0.4506 2.1615
Nb 11.7518 -1.0410 5.6786
Nb 3.1391 -1.9521 1.3074
Nb 8.8822 -1.3446 4.2222
Nb 6.0087 -1.6486 2.7638

=====

6
Lattice="3.1810 0.0000 0.0000 0.0000 4.5071 0.0000 0.0000 -2.2536 6.7726" Properties=species:S:1:pos:R:3 comment="GGA-PBE NbMo5, optimized geometry" spacegroup="No. 65" ef_ev_per_atom=-0.070 e_above_lowest_polymorph_ev_per_atom=0.0073 density_kg_m3=9792 magmom_total_mub_per_atom=0.000 pbc="T T T"
Mo 1.5905 0.0000 2.2915
Mo 0.0000 0.0000 4.5044
Mo 1.5905 2.2536 4.4811
Mo 0.0000 2.2536 2.2683
Mo 1.5905 2.2536 0.0000
Nb 0.0000 0.0000 0.0000

=====

6
Lattice="-2.1497 2.3869 0.6162 -0.1427 -0.9367 3.1306 7.5053 6.1926 2.1950" Properties=species:S:1:pos:R:3 comment="GGA-PBE Nb5Mo, optimized geometry" spacegroup="No. 123" ef_ev_per_atom=-0.064 e_above_lowest_polymorph_ev_per_atom=0.0000 density_kg_m3=8721 magmom_total_mub_per_atom=0.000 pbc="T T T"
Nb 0.0000 0.0000 0.0000
Nb 2.5555 2.1086 0.7474
Nb 0.1118 1.7631 2.2413
Nb 5.1012 5.8798 3.7005
Nb 4.9498 4.0841 1.4476
Mo 2.6065 3.8214 2.9709

=====

12
Lattice="-2.7425 1.5648 -0.6750 -3.3910 -5.4436 1.1577 0.8320 5.2540 8.7991" Properties=species:S:1:pos:R:3 comment="GGA-PBE Nb7Mo5, optimized geometry" spacegroup="No. 65" ef_ev_per_atom=-0.099 density_kg_m3=9144 magmom_total_mub_per_atom=0.000 pbc="T T T"
Mo 0.4160 2.6270 4.3996
Mo -1.2795 -0.0948 4.9784
Mo -1.6629 1.6376 2.8298
Mo -1.3712 0.7824 -0.3375
Mo -3.6386 -0.2624 6.4519
Nb -3.0667 -1.9394 0.2413
Nb -0.9681 -0.8957 1.8570
Nb -1.9410 2.4534 5.8510
Nb -2.7131 -3.6968 2.4527
Nb 0.1541 3.5072 7.5040
Nb -1.5908 0.7061 8.0997
Nb -3.3604 -1.0782 3.4307

=====

9
Lattice="-0.3496 -1.3677 2.8424 -4.5022 -5.1246 -1.2478 4.9527 -4.8536 0.0456" Properties=species:S:1:pos:R:3 comment="GGA-PBE NbMo8, optimized geometry" spacegroup="No. 139" ef_ev_per_atom=-0.059 density_kg_m3=9879 magmom_total_mub_per_atom=0.000 pbc="T T T"
Mo -0.0820 -4.2483 1.4893
Mo -1.6359 -2.1832 0.5200
Mo 1.7896 -4.9443 -0.3871
Mo 1.5564 -2.0917 0.9568
Mo 0.1828 -7.0976 0.1509
Mo -3.2159 -4.3091 1.0746
Mo -1.3391 -5.0339 -0.8151
Mo 3.0466 -4.1296 1.9313
Nb 0.0000 0.0000 0.0000

=====

10
Lattice="4.2946 0.0000 -1.4644 -0.4741 5.3496 -1.3904 0.0464 -0.0615 7.1654" Properties=species:S:1:pos:R:3 comment="GGA-PBE Nb3Mo7, optimized geometry" spacegroup="No. 12" ef_ev_per_atom=-0.116 e_above_lowest_polymorph_ev_per_atom=0.0000 density_kg_m3=9588 magmom_total_mub_per_atom=0.000 pbc="T T T"
Mo 0.7330 1.5953 2.1496
Mo 3.1339 3.6929 2.1610
Mo 2.1545 4.7887 -0.7109
Mo 1.4700 3.1628 4.3108
Mo -0.2371 2.6748 -0.6952
Mo 1.7123 0.4995 5.0215
Mo 2.3969 2.1254 -0.0002
Nb 3.3706 1.0355 2.8551
Nb 0.4963 4.2527 1.4554
Nb 0.0000 0.0000 0.0000

=====

6
Lattice="3.2848 0.0000 0.0000 0.0000 4.7214 0.0000 0.0000 -2.3607 6.8767" Properties=species:S:1:pos:R:3 comment="GGA-PBE Nb5Mo, optimized geometry" spacegroup="No. 65" ef_ev_per_atom=-0.056 e_above_lowest_polymorph_ev_per_atom=0.0081 density_kg_m3=8727 magmom_total_mub_per_atom=0.000 pbc="T T T"
Nb 1.6424 0.0000 2.2290
Nb 1.6424 2.3607 0.0000
Nb 0.0000 0.0000 4.5795
Nb 1.6424 2.3607 4.6477
Nb 0.0000 2.3607 2.2972
Mo 0.0000 0.0000 0.0000

=====

11
Lattice="4.3323 0.0047 -1.3409 -0.7369 5.8852 -2.3603 0.0418 -0.3274 7.8029" Properties=species:S:1:pos:R:3 comment="GGA-PBE Nb5Mo6, optimized geometry" spacegroup="No. 71" ef_ev_per_atom=0.236 density_kg_m3=8829 magmom_total_mub_per_atom=0.000 pbc="T T T"
Mo 0.0490 5.2818 0.1767
Mo 0.4199 2.3193 1.3649
Mo 1.9844 1.4523 -1.2519
Mo 3.5882 0.2807 3.9250
Mo 1.6109 4.4375 -2.4492
Mo 3.2172 3.2432 2.7368
Nb 2.4134 3.8212 0.1420
Nb 0.8666 4.7001 2.8163
Nb -0.3685 2.9426 -1.1801
Nb 2.7705 0.8624 1.2854
Nb 1.2237 1.7413 3.9597

=====

10
Lattice="-4.8075 -1.2335 -0.5613 3.6238 -3.7023 -0.6768 -0.4621 -1.9650 8.2756" Properties=species:S:1:pos:R:3 comment="GGA-PBE Nb3Mo7, optimized geometry" spacegroup="No. 65" ef_ev_per_atom=0.838 e_above_lowest_polymorph_ev_per_atom=0.9540 density_kg_m3=8082 magmom_total_mub_per_atom=0.000 pbc="T T T"
Mo -1.6934 -4.0594 1.2009
Mo -0.2310 -0.9825 4.1378
Mo -1.9174 -5.0117 5.2115
Mo -0.5919 -2.4679 -0.6191
Mo 1.8119 -1.8511 -0.3384
Mo 0.0476 -2.8415 5.8366
Mo 0.2715 -1.8892 1.8259
Nb -2.4038 -0.6168 -0.2807
Nb 0.5955 -3.9088 3.4891
Nb -2.2414 -2.9920 3.5484

=====

8
Lattice="3.2433 0.0000 0.0000 0.0000 3.2433 0.0000 0.0000 0.0000 13.0892" Properties=species:S:1:pos:R:3 comment="GGA-PBE Nb5Mo3, optimized geometry" spacegroup="No. 123" ef_ev_per_atom=-0.122 density_kg_m3=9074 magmom_total_mub_per_atom=0.000 pbc="T T T"
Nb 1.6217 1.6217 8.1362
Nb 0.0000 0.0000 9.8928
Nb 0.0000 0.0000 3.1964
Nb 0.0000 0.0000 0.0000
Nb 1.6217 1.6217 4.9530
Mo 1.6217 1.6217 1.6310
Mo 1.6217 1.6217 11.4582
Mo 0.0000 0.0000 6.5446

=====

20
Lattice="6.3800 0.0000 0.0000 0.0000 9.4268 0.0000 0.0000 0.0000 5.8623" Properties=species:S:1:pos:R:3 comment="GGA-PBE Nb2Mo3, optimized geometry" spacegroup="No. 60" ef_ev_per_atom=0.326 e_above_lowest_polymorph_ev_per_atom=0.4530 density_kg_m3=8923 magmom_total_mub_per_atom=0.000 pbc="T T T"
Mo 3.0116 3.5039 4.9509
Mo 3.3684 5.9229 0.9114
Mo 2.2535 7.0701 2.9311
Mo 3.3684 8.2173 4.9509
Mo 5.4435 7.0701 0.0000
Mo 4.1265 2.3567 2.9311
Mo 6.2016 3.5039 3.8426
Mo 0.1784 5.9229 2.0197
Mo 3.0116 1.2095 0.9114
Mo 6.2016 1.2095 2.0197
Mo 0.9365 2.3567 0.0000
Mo 0.1784 8.2173 3.8426
Nb 5.1774 3.9208 0.8097
Nb 1.2027 8.6342 0.8097
Nb 1.9874 0.7926 3.7408
Nb 5.1774 0.7926 5.0526
Nb 4.3927 5.5060 3.7408
Nb 1.9874 3.9208 2.1215
Nb 1.2027 5.5060 5.0526
Nb 4.3927 8.6342 2.1215